The following is a DFT calculation (PBE-GGA) of KSr3Rh after structural relaxation.

a b c (Å): 6.207 6.207 6.207
angles (deg): 90.00 90.00 90.00
Space group Pm-3m (No. 221)
One atom of each set of equivalent atoms:
K 0.000 0.000 0.000 x1
Sr 0.000 0.000 0.500 x3
Rh 0.500 0.500 0.500 x1

Calculated values
As for the magnetic moment: 0.145 μB/atom. The value obtained for the total DFT energy (no corrections) is -6.7 eV/cell. For the formation energy, the calculation gives 1.37 eV per atom. As for the excess energy over the best structure of this formula in the dataset: 1505.2 meV/atom.